Computed, not measured: a relaxed structure of RbW3Au at the PBE-GGA level of DFT.

Output
Energy above the most stable polymorph in this dataset = 0.000 eV/atom
D(E_F) = 6.5 states/eV/cell

Lattice parameters (Å, degrees): 5.084 5.084 5.084 90.00 90.00 90.00
Space group Pm-3m (No. 221)
Symmetry-distinct sites (fractional):
Rb 0.000 0.000 0.000 [1 per cell]
W 0.000 0.500 0.500 [3 per cell]
Au 0.500 0.500 0.500 [1 per cell]